Record 1
# SrLaHg4, optimized geometry, DFT PBE
# space group: No. 10
# energy above the lowest structure with this stoichiometry: 44 meV per atom
# M_tot: 0.00 μB per cell
# crystal system: monoclinic
# V: 31.93 Å³ per atom
data_SrLaHg4
_space_group_name_H-M_alt 'P 1'
_space_group_IT_number 1
_cell_length_a 3.979
_cell_length_b 8.244
_cell_length_c 5.930
_cell_angle_alpha 80.04
_cell_angle_beta 90.00
_cell_angle_gamma 90.00
loop_
_space_group_symop_operation_xyz
'x,y,z'
loop_
_atom_site_label
_atom_site_fract_x
_atom_site_fract_y
_atom_site_fract_z
Hg1 0.500 0.311 0.034
Hg2 0.500 0.689 0.966
Hg3 0.000 0.817 0.534
Hg4 0.000 0.183 0.466
Sr1 0.500 0.500 0.500
La1 0.000 0.000 0.000


Record 2
# SrLaHg2, optimized geometry, DFT PBE
# space group: No. 99
# M_tot: 0.00 μB per cell
# crystal system: tetragonal
# V: 30.80 Å³ per atom
data_SrLaHg2
_space_group_name_H-M_alt 'P 1'
_space_group_IT_number 1
_cell_length_a 5.595
_cell_length_b 3.936
_cell_length_c 5.593
_cell_angle_alpha 90.02
_cell_angle_beta 90.00
_cell_angle_gamma 90.00
loop_
_space_group_symop_operation_xyz
'x,y,z'
loop_
_atom_site_label
_atom_site_fract_x
_atom_site_fract_y
_atom_site_fract_z
Hg1 0.500 0.125 0.375
Hg2 0.000 0.125 0.875
Sr1 0.500 0.624 0.875
La1 0.000 0.626 0.375


Record 3
# Sr2LaHg, optimized geometry, DFT PBE
# space group: No. 47
# M_tot: 0.00 μB per cell
# crystal system: orthorhombic
# V: 36.91 Å³ per atom
data_Sr2LaHg
_space_group_name_H-M_alt 'P 1'
_space_group_IT_number 1
_cell_length_a 4.602
_cell_length_b 5.604
_cell_length_c 5.724
_cell_angle_alpha 90.00
_cell_angle_beta 90.00
_cell_angle_gamma 90.00
loop_
_space_group_symop_operation_xyz
'x,y,z'
loop_
_atom_site_label
_atom_site_fract_x
_atom_site_fract_y
_atom_site_fract_z
La1 0.000 0.500 0.500
Hg1 0.500 0.000 0.500
Sr1 0.500 0.500 0.000
Sr2 0.000 0.000 0.000


Record 4
# SrLaHg2, optimized geometry, DFT PBE
# space group: No. 216
# M_tot: 0.00 μB per cell
# crystal system: cubic
# V: 28.90 Å³ per atom
data_SrLaHg2
_space_group_name_H-M_alt 'P 1'
_space_group_IT_number 1
_cell_length_a 5.468
_cell_length_b 5.468
_cell_length_c 5.468
_cell_angle_alpha 60.00
_cell_angle_beta 60.00
_cell_angle_gamma 60.00
loop_
_space_group_symop_operation_xyz
'x,y,z'
loop_
_atom_site_label
_atom_site_fract_x
_atom_site_fract_y
_atom_site_fract_z
Hg1 0.000 0.000 0.000
Hg2 0.250 0.250 0.250
La1 0.500 0.500 0.500
Sr1 0.750 0.750 0.750


In the order shown, the computed E values come out to -1.5930 -2.3268 -2.2099 -1.9650 eV/atom.
In the order shown, the computed ΔH_f (0 K) values come out to -0.2903 -0.5236 -0.0617 -0.1618 eV/atom.